Density functional theory data (PBE-GGA) for a relaxed structure of Ta2CrHg.

a b c (Å): 2.945 2.945 8.337
angles (deg): 90.00 90.00 90.00
Space group P4mm (No. 99)
Asymmetric unit:
Ta: 0.000 0.000 0.000
Ta: 0.500 0.500 0.263
Cr: 0.000 0.000 0.483
Hg: 0.500 0.500 0.730

Computed properties:
ΔE_f = 0.37 eV/atom

Density functional theory data (PBE-GGA) for a relaxed structure of TaCrHg.

a b c (Å): 2.929 2.929 12.526
angles (deg): 90.00 90.00 90.00
Space group I4mm (No. 107)
Asymmetric unit:
Ta: 0.000 0.000 0.000
Cr: 0.000 0.000 0.647
Hg: 0.000 0.000 0.315

Computed properties:
Excess energy over the best structure of this formula in the dataset = 0.0531 eV per atom
ΔE_f = 0.43 eV/atom

Density functional theory data (PBE-GGA) for a relaxed structure of Ta2CrHg.

a b c (Å): 3.261 4.613 9.166
angles (deg): 90.00 90.00 90.00
Space group Imm2 (No. 44)
Asymmetric unit:
Ta: 0.000 0.000 0.000
Ta: 0.000 0.500 0.229
Cr: 0.000 0.500 0.712
Hg: 0.000 0.000 0.455

Computed properties:
ΔE_f = 0.37 eV/atom